Entry 1:
# Cd2ReC

A geometry-optimized Cd2ReC structure (PBE, Alexandria via LeMat-Bulk).

Calculated values
Energy relative to the elements, eV/f.u.: 4.4
Uncorrected energy, eV/atom: -4.772

Unit cell a=8.6004 b=8.6004 c=4.0244 alpha=90.00 beta=90.00 gamma=90.00
Closest atoms and distances in Å follow each position.
Space group I-42d (No. 122)
One atom of each set of equivalent atoms:
1 Cd 0.1266 0.2500 0.1250 (multiplicity 8)  2 C 2.46
2 Re 0.0000 0.0000 0.5000 (multiplicity 4)  2 C 2.01
3 C 0.0000 0.0000 0.0000 (multiplicity 4)  2 Re 2.01

---

Entry 2:
# Co2Pd3Pt2

A geometry-optimized Co2Pd3Pt2 structure (PBE, Alexandria via LeMat-Bulk).

Calculated values
Energy relative to the elements, eV/f.u.: 0.4
Uncorrected energy, eV/atom: -5.918

Unit cell a=3.7996 b=20.0035 c=2.7068 alpha=90.00 beta=90.00 gamma=90.00
Closest atoms and distances in Å follow each position.
Space group Cmmm (No. 65)
One atom of each set of equivalent atoms:
1 Co 0.0000 0.1409 0.0000 (multiplicity 4)  4 Pt 2.65, 5 Pd 2.71-2.82, 2 Co 2.71
2 Pd 0.0000 0.0000 0.0000 (multiplicity 2)  10 Pd 2.71-2.74, 2 Co 2.82
3 Pd 0.0000 0.4277 0.5000 (multiplicity 4)  1 Pt 2.63, 4 Co 2.71, 7 Pd 2.71-2.89
4 Pt 0.0000 0.2961 0.5000 (multiplicity 4)  1 Pd 2.63, 4 Pt 2.65-2.71, 4 Co 2.65

---

Entry 3:
# PuUZnRh

A geometry-optimized PuUZnRh structure (PBE, Alexandria via LeMat-Bulk).

Calculated values
Energy relative to the elements, eV/f.u.: -1.2
Uncorrected energy, eV/atom: -8.850

Unit cell a=6.6568 b=6.6568 c=6.6568 alpha=90.00 beta=90.00 gamma=90.00
Closest atoms and distances in Å follow each position.
Space group F-43m (No. 216)
One atom of each set of equivalent atoms:
1 Pu 0.0000 0.0000 0.0000 (multiplicity 4)  4 Zn 2.88, 4 U 2.88
2 U 0.2500 0.2500 0.7500 (multiplicity 4)  4 Rh 2.88, 4 Pu 2.88
3 Zn 0.2500 0.2500 0.2500 (multiplicity 4)  4 Rh 2.88, 4 Pu 2.88
4 Rh 0.0000 0.0000 0.5000 (multiplicity 4)  4 U 2.88, 4 Zn 2.88

---

Entry 4:
# Sm8Dy3Tl

A geometry-optimized Sm8Dy3Tl structure (PBE, Alexandria via LeMat-Bulk).

Calculated values
Energy relative to the elements, eV/f.u.: 5.8
Uncorrected energy, eV/atom: -4.012

Unit cell a=8.6784 b=8.6784 c=11.4845 alpha=90.00 beta=90.00 gamma=90.00
Closest atoms and distances in Å follow each position.
Space group I-42m (No. 121)
One atom of each set of equivalent atoms:
1 Sm 0.1275 0.1275 0.2552 (multiplicity 8)  3 Sm 3.11-3.38, 3 Dy 3.22-3.42, 1 Tl 3.32
2 Sm 0.2445 0.2445 0.5212 (multiplicity 8)  1 Dy 3.01, 1 Sm 3.11, 1 Tl 3.15
3 Dy 0.0000 0.0000 0.5000 (multiplicity 2)  8 Sm 3.01-3.22
4 Dy 0.0000 0.5000 0.2500 (multiplicity 4)  4 Sm 3.42
5 Tl 0.0000 0.0000 0.0000 (multiplicity 2)  8 Sm 3.15-3.32

---

Entry 5:
# ScTa2Hg

A geometry-optimized ScTa2Hg structure (PBE, Alexandria via LeMat-Bulk).

Calculated values
Energy relative to the elements, eV/f.u.: 0.4
Uncorrected energy, eV/atom: -7.474

Unit cell a=2.9227 b=2.9227 c=9.2534 alpha=90.00 beta=90.00 gamma=90.00
Closest atoms and distances in Å follow each position.
Space group P4mm (No. 99)
One atom of each set of equivalent atoms:
1 Sc 0.0000 0.0000 0.0000 (multiplicity 1)  4 Sc 2.92, 4 Ta 3.10, 4 Hg 3.15
2 Ta 0.0000 0.0000 0.4920 (multiplicity 1)  8 Ta 2.92-3.05, 4 Hg 3.11
3 Ta 0.5000 0.5000 0.2496 (multiplicity 1)  8 Ta 2.92-3.05, 4 Sc 3.10
4 Hg 0.5000 0.5000 0.7431 (multiplicity 1)  4 Hg 2.92, 4 Ta 3.11, 4 Sc 3.15

---

Entry 6:
# AlPRh2

A geometry-optimized AlPRh2 structure (PBE, Alexandria via LeMat-Bulk).

Calculated values
Distance to the lowest polymorph of the same formula, kJ per mole of atoms: 3.45
Energy relative to the elements, eV/f.u.: -2.5
Uncorrected energy, eV/atom: -6.596

Unit cell a=2.9903 b=3.6222 c=5.1095 alpha=90.00 beta=90.00 gamma=90.00
Closest atoms and distances in Å follow each position.
Space group Pmm2 (No. 25)
One atom of each set of equivalent atoms:
1 Al 0.0000 0.0000 0.0000 (multiplicity 1)  6 Rh 2.45-2.66
2 P 0.5000 0.5000 0.3246 (multiplicity 1)  6 Rh 2.48-2.57
3 Rh 0.0000 0.0000 0.4799 (multiplicity 1)  2 Al 2.45-2.66, 4 P 2.48
4 Rh 0.5000 0.5000 0.8272 (multiplicity 1)  4 Al 2.51, 2 P 2.54-2.57

---

Entry 7:
# La2TbPa2Ru5

A geometry-optimized La2TbPa2Ru5 structure (PBE, Alexandria via LeMat-Bulk).

Calculated values
Energy relative to the elements, eV/f.u.: -2.7
Uncorrected energy, eV/atom: -8.257

Unit cell a=11.2204 b=11.2204 c=3.4693 alpha=90.00 beta=90.00 gamma=90.00
Closest atoms and distances in Å follow each position.
Space group P4/mbm (No. 127)
One atom of each set of equivalent atoms:
1 La 0.1676 0.3324 0.0000 (multiplicity 4)  1 Pa 2.98, 6 Ru 3.18-3.21
2 Tb 0.0000 0.0000 0.0000 (multiplicity 2)  8 Ru 3.03
3 Pa 0.1446 0.6446 0.0000 (multiplicity 4)  6 Ru 2.59-2.88
4 Ru 0.0000 0.5000 0.5000 (multiplicity 2)  4 Pa 2.88, 4 La 3.18, 4 Ru 3.21
5 Ru 0.0433 0.7832 0.5000 (multiplicity 8)  2 Pa 2.59

---

Entry 8:
# MgAl2Au

A geometry-optimized MgAl2Au structure (PBE, Alexandria via LeMat-Bulk).

Calculated values
Energy relative to the elements, eV/f.u.: -1.3
Uncorrected energy, eV/atom: -3.421

Unit cell a=14.9667 b=7.6156 c=5.1798 alpha=90.00 beta=90.00 gamma=90.00
Closest atoms and distances in Å follow each position.
Space group Pnma (No. 62)
One atom of each set of equivalent atoms:
1 Mg 0.1111 0.2500 0.2414 (multiplicity 4)  3 Au 2.73-2.92
2 Mg 0.1428 0.7500 0.4573 (multiplicity 4)  3 Au 2.80-2.95, 2 Al 3.13
3 Al 0.0302 0.0508 0.7392 (multiplicity 8)  3 Au 2.63-2.66, 1 Al 2.75
4 Al 0.2150 0.5513 0.9542 (multiplicity 8)  3 Au 2.63-2.65, 2 Al 2.90
5 Au 0.0711 0.7500 0.9591 (multiplicity 4)  6 Al 2.63-2.65, 3 Mg 2.80-2.92
6 Au 0.1761 0.2500 0.7337 (multiplicity 4)  6 Al 2.63-2.66, 2 Mg 2.73-2.80

---

Entry 9:
# DyTmCuSn

A geometry-optimized DyTmCuSn structure (PBE, Alexandria via LeMat-Bulk).

Calculated values
Energy relative to the elements, eV/f.u.: -1.7
Uncorrected energy, eV/atom: -4.712

Unit cell a=7.2228 b=7.2228 c=7.2228 alpha=90.00 beta=90.00 gamma=90.00
Closest atoms and distances in Å follow each position.
Space group F-43m (No. 216)
One atom of each set of equivalent atoms:
1 Dy 0.0000 0.0000 0.0000 (multiplicity 4)  4 Sn 3.13, 4 Cu 3.13
2 Tm 0.0000 0.0000 0.5000 (multiplicity 4)  4 Cu 3.13, 4 Sn 3.13
3 Cu 0.2500 0.2500 0.7500 (multiplicity 4)  4 Dy 3.13, 4 Tm 3.13
4 Sn 0.2500 0.2500 0.2500 (multiplicity 4)  4 Dy 3.13, 4 Tm 3.13

---

Entry 10:
# CaSiGeRh2

A geometry-optimized CaSiGeRh2 structure (PBE, Alexandria via LeMat-Bulk).

Calculated values
Energy relative to the elements, uncorrected, eV per formula unit: 2.1
Uncorrected energy, eV/atom: -4.936

Unit cell a=4.5637 b=4.5637 c=5.3240 alpha=90.00 beta=90.00 gamma=90.00
Closest atoms and distances in Å follow each position.
Space group P4/mmm (No. 123)
One atom of each set of equivalent atoms:
1 Ca 0.0000 0.0000 0.0000 (multiplicity 1)  2 Ge 2.66
2 Si 0.5000 0.5000 0.0000 (multiplicity 1)  4 Ca 3.23, 8 Rh 3.51
3 Ge 0.0000 0.0000 0.5000 (multiplicity 1)  4 Rh 2.28
4 Rh 0.0000 0.5000 0.5000 (multiplicity 2)  2 Ge 2.28

---

Entry 11:
# PmNdCdAu

A geometry-optimized PmNdCdAu structure (PBE, Alexandria via LeMat-Bulk).

Calculated values
Distance to the lowest polymorph of the same formula, kJ per mole of atoms: 3.09
Energy relative to the elements, eV/f.u.: -2.0
Uncorrected energy, eV/atom: -3.940

Unit cell a=7.5404 b=7.5404 c=7.5404 alpha=90.00 beta=90.00 gamma=90.00
Closest atoms and distances in Å follow each position.
Space group F-43m (No. 216)
One atom of each set of equivalent atoms:
1 Pm 0.0000 0.0000 0.0000 (multiplicity 4)  4 Au 3.27, 4 Cd 3.27
2 Nd 0.0000 0.0000 0.5000 (multiplicity 4)  4 Cd 3.27, 4 Au 3.27
3 Cd 0.2500 0.2500 0.2500 (multiplicity 4)  4 Pm 3.27, 4 Nd 3.27
4 Au 0.2500 0.2500 0.7500 (multiplicity 4)  4 Nd 3.27, 4 Pm 3.27

---

Entry 12:
# CaY2Ag4

A geometry-optimized CaY2Ag4 structure (PBE, Alexandria via LeMat-Bulk).

Calculated values
Energy relative to the elements, eV/f.u.: -0.6
Uncorrected energy, eV/atom: -3.844

Unit cell a=5.0422 b=5.0422 c=24.7503 alpha=90.00 beta=90.00 gamma=120.00
Closest atoms and distances in Å follow each position.
Space group R-3m (No. 166, hexagonal axes)
One atom of each set of equivalent atoms:
1 Ca 0.0000 0.0000 0.0000 (multiplicity 3)  8 Ag 3.06-3.10
2 Y 0.0000 0.0000 0.2442 (multiplicity 6)  8 Ag 2.99-3.26
3 Ag 0.0000 0.0000 0.1234 (multiplicity 6)  4 Y 2.99-3.03, 1 Ca 3.06
4 Ag 0.0000 0.0000 0.3759 (multiplicity 6)  3 Ca 3.10, 4 Y 3.13-3.26